ScFe2F8: optimized geometry, PBE+U.

Results
- symmetry = C2/m
- total DFT energy (no corrections) (eV/atom) = -5.86
- ρ (g/cm³) = 3.75

a b c (Å): 5.4143 5.4143 4.9891
angles (deg): 101.67 101.67 75.05
With the nearest neighbours (Å) after each atom.
Positions (direct):
Sc 0.0000 0.0000 0.0000  6 F 1.99-2.07
Fe 0.3297 0.3297 0.5679  5 F 1.98-2.13
Fe 0.6703 0.6703 0.4321  5 F 1.98-2.13
F 0.0545 0.6606 0.7176  1 Sc 2.07, 2 Fe 2.13-2.27
F 0.1599 0.1599 0.7732  1 Fe 1.98, 1 Sc 1.99
F 0.3394 0.9455 0.2824  1 Sc 2.07, 2 Fe 2.13-2.27
F 0.4305 0.4305 0.2491  2 Fe 2.00-2.03
F 0.5695 0.5695 0.7509  2 Fe 2.00-2.03
F 0.6606 0.0545 0.7176  1 Sc 2.07, 2 Fe 2.13-2.27
F 0.8401 0.8401 0.2268  1 Fe 1.98, 1 Sc 1.99
F 0.9455 0.3394 0.2824  1 Sc 2.07, 2 Fe 2.13-2.27